Record 1
Computed, not measured: a PBEsol-optimized structure of MnInSi at the meta-GGA SCAN level of DFT.

Results
- crystal system = tetragonal
- space-group type = I4mm (107)
- raw formation energy (eV/atom) = 0.13

Unit cell a=5.1268 b=5.1268 c=5.1268 alpha=145.20 beta=145.20 gamma=50.04
Positions (direct):
Mn  0.0000  0.0000  0.0000
In  0.6958  0.6958  0.0000
Si  0.4027  0.4027  0.0000

Record 2
Computed, not measured: a PBEsol-optimized structure of MgTa2HgPd at the meta-GGA SCAN level of DFT.

Results
- crystal system = tetragonal
- DOS(E_F) (states/eV/cell) = 3.74
- space-group type = P4/mmm (123)
- DFT formation energy (eV per formula unit) = 7.661

Unit cell a=4.7512 b=4.7512 c=4.3934 alpha=90.00 beta=90.00 gamma=90.00
Positions (direct):
Mg  0.0000  0.0000  0.0000
Ta  0.0000  0.5000  0.0000
Ta  0.5000  0.0000  0.0000
Hg  0.5000  0.5000  0.5000
Pd  0.0000  0.0000  0.5000

Across the entries above, total magnetic moment takes the values 0.000, 0.000 μB per atom, respectively.